# 1
# PBE-GGA LiScTe2, optimized geometry
data_LiScTe2
_chemical_formula_sum 'Li1 Sc1 Te2'
_symmetry_space_group_name_H-M 'P 1'
_symmetry_Int_Tables_number 1
_cell_length_a 3.782
_cell_length_b 3.782
_cell_length_c 7.783
_cell_angle_alpha 90.00
_cell_angle_beta 90.00
_cell_angle_gamma 108.74
loop_
_symmetry_equiv_pos_as_xyz
'x,y,z'
loop_
_atom_site_label
_atom_site_fract_x
_atom_site_fract_y
_atom_site_fract_z
Li1 0.500 0.500 0.250
Sc1 0.500 0.500 0.750
Te1 0.000 0.000 0.992
Te2 0.000 0.000 0.508
# Calculated total energy in eV per cell: -17.9

# 2
# PBE-GGA Li2ScTe2, optimized geometry
data_Li2ScTe2
_chemical_formula_sum 'Li2 Sc1 Te2'
_symmetry_space_group_name_H-M 'P 1'
_symmetry_Int_Tables_number 1
_cell_length_a 3.890
_cell_length_b 3.890
_cell_length_c 7.773
_cell_angle_alpha 75.51
_cell_angle_beta 75.51
_cell_angle_gamma 90.00
loop_
_symmetry_equiv_pos_as_xyz
'x,y,z'
loop_
_atom_site_label
_atom_site_fract_x
_atom_site_fract_y
_atom_site_fract_z
Sc1 0.000 0.000 0.000
Te1 0.384 0.384 0.232
Te2 0.616 0.616 0.768
Li1 0.750 0.250 0.500
Li2 0.250 0.750 0.500
# E above lowest polymorph in meV per atom: 13.5

# 3
# PBE-GGA LiScTe2, optimized geometry
data_LiScTe2
_chemical_formula_sum 'Li1 Sc1 Te2'
_symmetry_space_group_name_H-M 'P 1'
_symmetry_Int_Tables_number 1
_cell_length_a 4.141
_cell_length_b 4.141
_cell_length_c 7.683
_cell_angle_alpha 74.37
_cell_angle_beta 74.37
_cell_angle_gamma 60.00
loop_
_symmetry_equiv_pos_as_xyz
'x,y,z'
loop_
_atom_site_label
_atom_site_fract_x
_atom_site_fract_y
_atom_site_fract_z
Li1 0.500 0.500 0.501
Sc1 0.667 0.667 0.999
Te1 0.078 0.078 0.766
Te2 0.255 0.255 0.234
# Calculated total energy in eV per cell: -19.1

# 4
# PBE-GGA LiSc3Te4, optimized geometry
data_LiSc3Te4
_chemical_formula_sum 'Li2 Sc6 Te8'
_symmetry_space_group_name_H-M 'P 1'
_symmetry_Int_Tables_number 1
_cell_length_a 5.842
_cell_length_b 8.643
_cell_length_c 9.405
_cell_angle_alpha 90.00
_cell_angle_beta 90.00
_cell_angle_gamma 90.00
loop_
_symmetry_equiv_pos_as_xyz
'x,y,z'
loop_
_atom_site_label
_atom_site_fract_x
_atom_site_fract_y
_atom_site_fract_z
Li1 0.066 0.099 0.000
Li2 0.566 0.901 0.500
Sc1 0.564 0.759 0.000
Sc2 0.064 0.657 0.286
Sc3 0.564 0.343 0.214
Sc4 0.064 0.241 0.500
Sc5 0.564 0.343 0.786
Sc6 0.064 0.657 0.714
Te1 0.064 0.773 0.000
Te2 0.565 0.099 0.000
Te3 0.064 0.337 0.206
Te4 0.564 0.663 0.294
Te5 0.065 0.901 0.500
Te6 0.564 0.227 0.500
Te7 0.564 0.663 0.706
Te8 0.064 0.337 0.794
# E above lowest polymorph in meV per atom: 139.2